(1)
{"formula": "KLiRe2", "functional": "PBE-GGA", "state": "optimized geometry", "lattice_angstrom": [[-0.046, 0.301, 2.738], [-2.423, -0.806, -1.032], [2.922, -10.293, 1.179]], "species": ["Re", "Re", "Li", "K"], "fractional_positions": [[0.500, 0.500, 0.208], [0.000, 0.000, 0.011], [0.500, 0.500, 0.799], [0.000, 0.000, 0.482]], "magnetic_moment_mub_per_atom": 0.000, "e_above_lowest_polymorph_mev_per_atom": 118.9, "formation_energy_ev_per_fu": 2.94, "space_group": "No. 35", "density_g_cm3": 9.2, "dft_energy_ev_per_atom": -6.24, "crystal_system": "orthorhombic"}



(2)
{"formula": "Mn5GaPt6", "functional": "PBE-GGA", "state": "optimized geometry", "lattice_angstrom": [[-0.836, -3.937, -0.833], [6.476, -1.866, 2.322], [-5.066, 2.180, 4.939]], "species": ["Pt", "Pt", "Pt", "Pt", "Pt", "Pt", "Mn", "Mn", "Mn", "Mn", "Mn", "Ga"], "fractional_positions": [[0.833, 0.079, 0.667], [0.500, 0.241, 0.000], [0.167, 0.921, 0.333], [0.833, 0.588, 0.667], [0.500, 0.759, 0.000], [0.167, 0.412, 0.333], [0.338, 0.338, 0.676], [0.328, 0.828, 0.657], [0.672, 0.172, 0.343], [0.662, 0.662, 0.324], [0.000, 0.500, 0.000], [0.000, 0.000, 0.000]], "magnetic_moment_mub_per_atom": 1.796, "formation_energy_ev_per_fu": -5.14, "space_group": "No. 71", "density_g_cm3": 14.0, "dft_energy_ev_per_atom": -7.52, "crystal_system": "orthorhombic"}



(3)
{"formula": "Sm2DyPbN", "functional": "PBE-GGA", "state": "optimized geometry", "lattice_angstrom": [[-2.608, -3.964, -0.821], [4.171, -2.693, -0.247], [-0.256, -0.845, 4.892]], "species": ["Sm", "Sm", "Dy", "Pb", "N"], "fractional_positions": [[0.000, 0.000, 0.500], [0.000, 0.500, 0.000], [0.500, 0.000, 0.000], [0.500, 0.500, 0.500], [0.000, 0.000, 0.000]], "magnetic_moment_mub_per_atom": 0.000, "space_group": "No. 123", "density_g_cm3": 9.6, "raw_formation_energy_ev_per_atom": -0.925, "dft_energy_ev_per_atom": -6.14, "crystal_system": "tetragonal"}



(4)
{"formula": "K5Tc4", "functional": "PBE-GGA", "state": "optimized geometry", "lattice_angstrom": [[10.993, 0.000, 0.000], [-5.497, 9.520, 0.000], [0.000, 0.000, 7.401]], "species": ["K", "K", "K", "K", "K", "K", "K", "K", "K", "K", "Tc", "Tc", "Tc", "Tc", "Tc", "Tc", "Tc", "Tc"], "fractional_positions": [[0.333, 0.667, 0.000], [0.654, 0.654, 0.750], [0.333, 0.667, 0.500], [0.000, 0.654, 0.250], [0.654, 0.000, 0.250], [0.667, 0.333, 0.000], [0.667, 0.333, 0.500], [0.346, 0.000, 0.750], [0.000, 0.346, 0.750], [0.346, 0.346, 0.250], [0.000, 0.000, 0.500], [0.851, 0.000, 0.750], [0.000, 0.851, 0.750], [0.000, 0.000, 0.000], [0.149, 0.000, 0.250], [0.000, 0.149, 0.250], [0.149, 0.149, 0.750], [0.851, 0.851, 0.250]], "magnetic_moment_mub_per_atom": 0.710, "formation_energy_ev_per_fu": 9.99, "space_group": "No. 193", "density_g_cm3": 2.5, "dft_energy_ev_per_atom": -4.11, "crystal_system": "hexagonal"}



(5)
{"formula": "Tb6Zn5In", "functional": "PBE-GGA", "state": "optimized geometry", "lattice_angstrom": [[1.145, 4.924, 0.658], [-0.555, 1.091, -7.194], [-7.737, -1.387, 4.088]], "species": ["Zn", "Zn", "Zn", "Zn", "Zn", "Tb", "Tb", "Tb", "Tb", "Tb", "Tb", "In"], "fractional_positions": [[0.668, 0.668, 0.335], [0.336, 0.836, 0.673], [0.664, 0.164, 0.327], [0.332, 0.332, 0.665], [0.000, 0.500, 0.000], [0.829, 0.086, 0.658], [0.500, 0.262, 0.000], [0.829, 0.573, 0.658], [0.171, 0.427, 0.342], [0.171, 0.914, 0.342], [0.500, 0.738, 0.000], [0.000, 0.000, 0.000]], "magnetic_moment_mub_per_atom": 0.000, "formation_energy_ev_per_fu": -4.26, "space_group": "No. 71", "density_g_cm3": 8.1, "dft_energy_ev_per_atom": -3.43, "crystal_system": "orthorhombic"}



(6)
{"formula": "ScTcNi", "functional": "PBE-GGA", "state": "optimized geometry", "lattice_angstrom": [[4.263, 0.000, 2.394], [1.383, 4.284, 2.531], [-0.092, 0.252, 5.157]], "species": ["Ni", "Ni", "Tc", "Tc", "Sc", "Sc"], "fractional_positions": [[0.500, 0.500, 0.000], [0.500, 0.000, 0.500], [0.000, 0.000, 0.000], [0.500, 0.000, 0.000], [0.878, 0.372, 0.372], [0.122, 0.628, 0.628]], "magnetic_moment_mub_per_atom": 0.000, "e_above_lowest_polymorph_mev_per_atom": 0.0, "formation_energy_ev_per_fu": -1.08, "space_group": "No. 74", "density_g_cm3": 7.2, "dft_energy_ev_per_atom": -7.85, "crystal_system": "orthorhombic"}



(7)
{"formula": "ZrAg3Mo", "functional": "PBE-GGA", "state": "optimized geometry", "lattice_angstrom": [[-2.414, -3.682, -2.242], [1.643, -3.161, 3.423], [-3.986, 0.927, 2.768]], "species": ["Mo", "Zr", "Ag", "Ag", "Ag"], "fractional_positions": [[0.000, 0.000, 0.000], [0.500, 0.500, 0.500], [0.500, 0.000, 0.000], [0.000, 0.000, 0.500], [0.000, 0.500, 0.000]], "magnetic_moment_mub_per_atom": 0.000, "e_above_lowest_polymorph_mev_per_atom": 0.0, "formation_energy_ev_per_fu": 7.41, "space_group": "No. 221", "density_g_cm3": 7.0, "dft_energy_ev_per_atom": -4.10, "crystal_system": "cubic"}



(8)
{"formula": "CuBrO2F", "functional": "PBE-GGA", "state": "optimized geometry", "lattice_angstrom": [[3.943, 0.000, 0.000], [0.000, 3.943, 0.000], [0.000, 0.000, 3.805]], "species": ["O", "O", "Br", "Cu", "F"], "fractional_positions": [[0.500, 0.000, 0.000], [0.000, 0.500, 0.000], [0.500, 0.500, 0.500], [0.000, 0.000, 0.000], [0.000, 0.000, 0.500]], "magnetic_moment_mub_per_atom": 0.000, "space_group": "No. 123", "density_g_cm3": 5.5, "raw_formation_energy_ev_per_atom": 0.092, "dft_energy_ev_per_atom": -3.42, "crystal_system": "tetragonal"}